## a
{
  "formula": "LiPmTm2",
  "functional": "PBE",
  "state": "optimized geometry",
  "lattice_angstrom": [[3.691, 0.000, 0.000], [0.000, 5.612, 0.000], [0.000, 0.000, 5.612]],
  "species": ["Tm", "Tm", "Li", "Pm"],
  "frac_coords": [[0.000, 0.000, 0.500], [0.000, 0.500, 0.000], [0.500, 0.500, 0.500], [0.500, 0.000, 0.000]],
  "spacegroup": "P4/mmm, No. 123",
  "mass_density_g_cm3": 7.0
}

***

## b
{
  "formula": "LiPmTm2",
  "functional": "PBE",
  "state": "optimized geometry",
  "lattice_angstrom": [[5.478, 0.000, 0.000], [2.739, 4.744, 0.000], [2.739, 1.581, 4.473]],
  "species": ["Tm", "Tm", "Li", "Pm"],
  "frac_coords": [[0.250, 0.250, 0.250], [0.750, 0.750, 0.750], [0.500, 0.500, 0.500], [0.000, 0.000, 0.000]],
  "spacegroup": "Fm-3m, No. 225",
  "mass_density_g_cm3": 7.0
}

***

## c
{
  "formula": "LiPmTm2",
  "functional": "PBE",
  "state": "optimized geometry",
  "lattice_angstrom": [[3.495, -0.001, -0.001], [1.747, 3.028, -0.001], [1.745, 1.008, 11.165]],
  "species": ["Li", "Pm", "Tm", "Tm"],
  "frac_coords": [[0.667, 0.667, 0.000], [0.500, 0.500, 0.500], [0.080, 0.080, 0.760], [0.254, 0.254, 0.239]],
  "spacegroup": "R3m, No. 160",
  "mass_density_g_cm3": 6.9
}

***

Verdict on stability: b comes out at the bottom.

***

## a
{
  "formula": "LiPmY2",
  "functional": "PBE",
  "state": "optimized geometry",
  "lattice_angstrom": [[5.551, 0.000, 0.000], [2.775, 4.807, 0.000], [2.775, 1.602, 4.532]],
  "species": ["Y", "Y", "Li", "Pm"],
  "frac_coords": [[0.250, 0.250, 0.250], [0.750, 0.750, 0.750], [0.500, 0.500, 0.500], [0.000, 0.000, 0.000]],
  "spacegroup": "Fm-3m, No. 225",
  "mass_density_g_cm3": 4.5
}

***

## b
{
  "formula": "LiPmY2",
  "functional": "PBE",
  "state": "optimized geometry",
  "lattice_angstrom": [[3.667, 0.000, 0.000], [0.000, 3.667, 0.000], [0.000, 0.000, 8.820]],
  "species": ["Y", "Y", "Li", "Pm"],
  "frac_coords": [[0.000, 0.000, 0.784], [0.000, 0.000, 0.216], [0.500, 0.500, 0.000], [0.500, 0.500, 0.500]],
  "spacegroup": "P4/mmm, No. 123",
  "mass_density_g_cm3": 4.6
}

***

## c
{
  "formula": "LiPmY2",
  "functional": "PBE",
  "state": "optimized geometry",
  "lattice_angstrom": [[3.720, 0.000, 0.000], [0.000, 5.701, 0.000], [0.000, 0.000, 5.701]],
  "species": ["Y", "Y", "Li", "Pm"],
  "frac_coords": [[0.000, 0.000, 0.500], [0.000, 0.500, 0.000], [0.500, 0.000, 0.000], [0.500, 0.500, 0.500]],
  "spacegroup": "P4/mmm, No. 123",
  "mass_density_g_cm3": 4.5
}

***

Verdict on stability: a comes out at the bottom.

***

## a
{
  "formula": "LiPmY2",
  "functional": "PBE",
  "state": "optimized geometry",
  "lattice_angstrom": [[-2.565, -1.844, 1.511], [0.518, -3.361, 0.836], [3.402, 1.644, 11.839]],
  "species": ["Y", "Y", "Li", "Pm"],
  "frac_coords": [[0.088, 0.088, 0.736], [0.912, 0.912, 0.264], [0.000, 0.000, 0.000], [0.500, 0.500, 0.500]],
  "spacegroup": "R-3m, No. 166",
  "mass_density_g_cm3": 4.2
}

***

## b
{
  "formula": "LiPmY2",
  "functional": "PBE",
  "state": "optimized geometry",
  "lattice_angstrom": [[3.556, -0.001, -0.001], [1.777, 3.080, -0.001], [1.774, 1.024, 11.261]],
  "species": ["Li", "Pm", "Y", "Y"],
  "frac_coords": [[0.667, 0.667, 0.000], [0.500, 0.500, 0.500], [0.080, 0.080, 0.761], [0.254, 0.254, 0.239]],
  "spacegroup": "R3m, No. 160",
  "mass_density_g_cm3": 4.4
}

***

Verdict on stability: a comes out at the bottom.

***

## a
{
  "formula": "Li2PmZn",
  "functional": "PBE",
  "state": "optimized geometry",
  "lattice_angstrom": [[-0.731, 2.138, -2.580], [-1.712, -2.508, -1.594], [-5.984, 1.969, 3.328]],
  "species": ["Zn", "Li", "Li", "Pm"],
  "frac_coords": [[0.500, 0.500, 0.000], [0.000, 0.000, 0.816], [0.000, 0.000, 0.184], [0.500, 0.500, 0.500]],
  "spacegroup": "P4/mmm, No. 123",
  "mass_density_g_cm3": 4.4
}

***

## b
{
  "formula": "Li2PmZn",
  "functional": "PBE",
  "state": "optimized geometry",
  "lattice_angstrom": [[-4.655, 1.312, -0.092], [-3.376, -2.933, 1.844], [-2.259, 1.193, 4.108]],
  "species": ["Zn", "Li", "Li", "Pm"],
  "frac_coords": [[0.000, 0.000, 0.000], [0.250, 0.250, 0.250], [0.750, 0.750, 0.750], [0.500, 0.500, 0.500]],
  "spacegroup": "Fm-3m, No. 225",
  "mass_density_g_cm3": 4.7
}

***

Verdict on stability: a comes out at the bottom.

***

## a
{
  "formula": "LiPm2Zn5",
  "functional": "PBE",
  "state": "optimized geometry",
  "lattice_angstrom": [[4.397, 0.000, 0.000], [-2.198, 8.232, 0.000], [0.000, 0.000, 8.979]],
  "species": ["Li", "Li", "Pm", "Pm", "Pm", "Pm", "Zn", "Zn", "Zn", "Zn", "Zn", "Zn", "Zn", "Zn", "Zn", "Zn"],
  "frac_coords": [[0.446, 0.891, 0.750], [0.554, 0.109, 0.250], [0.798, 0.596, 0.750], [0.202, 0.404, 0.250], [0.000, 0.000, 0.000], [0.000, 0.000, 0.500], [0.186, 0.372, 0.894], [0.814, 0.628, 0.106], [0.186, 0.372, 0.606], [0.814, 0.628, 0.394], [0.351, 0.703, 0.978], [0.649, 0.297, 0.022], [0.351, 0.703, 0.522], [0.649, 0.297, 0.478], [0.599, 0.198, 0.750], [0.401, 0.802, 0.250]],
  "spacegroup": "Cmcm, No. 63",
  "mass_density_g_cm3": 6.4
}

***

## b
{
  "formula": "LiPm2Zn5",
  "functional": "PBE",
  "state": "optimized geometry",
  "lattice_angstrom": [[-4.088, 2.234, -0.700], [-1.127, -0.644, 4.529], [5.693, 5.365, -0.271]],
  "species": ["Li", "Pm", "Pm", "Zn", "Zn", "Zn", "Zn", "Zn"],
  "frac_coords": [[0.000, 0.000, 0.000], [0.739, 0.739, 0.479], [0.261, 0.261, 0.521], [0.500, 0.500, 0.000], [0.900, 0.400, 0.801], [0.400, 0.900, 0.801], [0.100, 0.600, 0.199], [0.600, 0.100, 0.199]],
  "spacegroup": "I4/mmm, No. 139",
  "mass_density_g_cm3": 6.6
}

***

Verdict on stability: b comes out at the bottom.

***

## a
{
  "formula": "LiPm2Zr",
  "functional": "PBE",
  "state": "optimized geometry",
  "lattice_angstrom": [[3.461, 0.000, 0.000], [0.000, 3.461, 0.000], [0.000, 0.000, 9.363]],
  "species": ["Li", "Zr", "Pm", "Pm"],
  "frac_coords": [[0.500, 0.500, 0.000], [0.500, 0.500, 0.500], [0.000, 0.000, 0.746], [0.000, 0.000, 0.254]],
  "spacegroup": "P4/mmm, No. 123",
  "mass_density_g_cm3": 5.7
}

***

## b
{
  "formula": "LiPm2Zr",
  "functional": "PBE",
  "state": "optimized geometry",
  "lattice_angstrom": [[3.488, 0.000, 0.000], [0.000, 5.620, 0.000], [0.000, 0.000, 5.620]],
  "species": ["Li", "Zr", "Pm", "Pm"],
  "frac_coords": [[0.500, 0.000, 0.000], [0.500, 0.500, 0.500], [0.000, 0.000, 0.500], [0.000, 0.500, 0.000]],
  "spacegroup": "P4/mmm, No. 123",
  "mass_density_g_cm3": 5.9
}

***

Verdict on stability: b comes out at the bottom.

***

## a
{
  "formula": "LiPmZr",
  "functional": "PBE",
  "state": "optimized geometry",
  "lattice_angstrom": [[-3.101, -0.672, -0.409], [0.317, -3.669, 3.632], [-1.225, 4.848, 1.321]],
  "species": ["Li", "Zr", "Pm"],
  "frac_coords": [[0.031, 0.000, 0.000], [0.252, 0.333, 0.667], [0.717, 0.667, 0.333]],
  "spacegroup": "P3m1, No. 156",
  "mass_density_g_cm3": 5.4
}

***

## b
{
  "formula": "LiPmZr",
  "functional": "PBE",
  "state": "optimized geometry",
  "lattice_angstrom": [[-1.275, 1.857, -2.503], [-3.072, -1.202, 0.674], [1.131, 4.752, 5.214]],
  "species": ["Li", "Zr", "Pm"],
  "frac_coords": [[0.324, 0.324, 0.648], [0.672, 0.672, 0.344], [0.004, 0.004, 0.008]],
  "spacegroup": "I4mm, No. 107",
  "mass_density_g_cm3": 5.3
}

***

Verdict on stability: a comes out at the bottom.

***

## a
{
  "formula": "Li2Pr",
  "functional": "PBE",
  "state": "optimized geometry",
  "lattice_angstrom": [[6.006, 0.000, 0.000], [3.003, 5.201, 0.000], [3.003, 1.734, 4.904]],
  "species": ["Pr", "Pr", "Li", "Li", "Li", "Li"],
  "frac_coords": [[0.000, 0.000, 0.000], [0.250, 0.250, 0.250], [0.125, 0.625, 0.625], [0.625, 0.125, 0.625], [0.625, 0.625, 0.625], [0.625, 0.625, 0.125]],
  "spacegroup": "Fd-3m, No. 227",
  "mass_density_g_cm3": 3.4
}

***

## b
{
  "formula": "Li2Pr",
  "functional": "PBE",
  "state": "optimized geometry",
  "lattice_angstrom": [[3.588, 0.000, 0.000], [0.000, 3.588, 0.000], [-1.794, -1.794, 5.867]],
  "species": ["Pr", "Li", "Li"],
  "frac_coords": [[0.000, 0.000, 0.000], [0.694, 0.694, 0.387], [0.306, 0.306, 0.613]],
  "spacegroup": "I4/mmm, No. 139",
  "mass_density_g_cm3": 3.4
}

***

Verdict on stability: b comes out at the bottom.

***

## a
{
  "formula": "LiPr3",
  "functional": "PBE",
  "state": "optimized geometry",
  "lattice_angstrom": [[-0.859, -3.511, -3.546], [-0.613, -3.497, 3.611], [-4.953, 1.042, 0.168]],
  "species": ["Li", "Pr", "Pr", "Pr"],
  "frac_coords": [[0.000, 0.000, 0.000], [0.000, 0.500, 0.500], [0.500, 0.500, 0.000], [0.500, 0.000, 0.500]],
  "spacegroup": "Pm-3m, No. 221",
  "mass_density_g_cm3": 5.5
}

***

## b
{
  "formula": "LiPr3",
  "functional": "PBE",
  "state": "optimized geometry",
  "lattice_angstrom": [[3.508, 0.000, 0.000], [0.000, 3.455, 0.000], [0.000, 0.000, 11.198]],
  "species": ["Pr", "Pr", "Pr", "Li"],
  "frac_coords": [[0.000, 0.500, 0.469], [0.500, 0.500, 0.189], [0.500, 0.000, 0.710], [0.000, 0.000, 0.966]],
  "spacegroup": "Pmm2, No. 25",
  "mass_density_g_cm3": 5.3
}

***

Verdict on stability: b comes out at the bottom.

***

## a
{
  "formula": "LiPr3",
  "functional": "PBE",
  "state": "optimized geometry",
  "lattice_angstrom": [[4.971, 0.000, 0.000], [0.000, 4.971, 0.000], [-2.486, -2.486, 5.222]],
  "species": ["Pr", "Pr", "Pr", "Li"],
  "frac_coords": [[0.750, 0.250, 0.500], [0.250, 0.750, 0.500], [0.500, 0.500, 0.000], [0.000, 0.000, 0.000]],
  "spacegroup": "I4/mmm, No. 139",
  "mass_density_g_cm3": 5.5
}

***

## b
{
  "formula": "LiPr3",
  "functional": "PBE",
  "state": "optimized geometry",
  "lattice_angstrom": [[-0.567, -0.978, 5.596], [-1.115, -5.275, 1.878], [4.011, -2.939, 2.805]],
  "species": ["Pr", "Pr", "Pr", "Li"],
  "frac_coords": [[0.000, 0.000, 0.000], [0.750, 0.750, 0.750], [0.250, 0.250, 0.250], [0.500, 0.500, 0.500]],
  "spacegroup": "Fm-3m, No. 225",
  "mass_density_g_cm3": 5.4
}

***

Verdict on stability: b comes out at the bottom.

***

## a
{
  "formula": "LiPr2Pt2",
  "functional": "PBE",
  "state": "optimized geometry",
  "lattice_angstrom": [[-0.878, -2.880, 5.066], [0.336, -6.314, -3.531], [5.976, 4.408, 0.114]],
  "species": ["Li", "Li", "Pr", "Pr", "Pr", "Pr", "Pt", "Pt", "Pt", "Pt"],
  "frac_coords": [[0.750, 0.500, 0.000], [0.250, 0.500, 0.000], [0.858, 0.694, 0.717], [0.142, 0.306, 0.283], [0.642, 0.977, 0.283], [0.358, 0.023, 0.717], [0.389, 0.643, 0.777], [0.611, 0.357, 0.223], [0.111, 0.866, 0.223], [0.889, 0.134, 0.777]],
  "spacegroup": "Ibam, No. 72",
  "mass_density_g_cm3": 9.1
}

***

## b
{
  "formula": "LiPr2Pt2",
  "functional": "PBE",
  "state": "optimized geometry",
  "lattice_angstrom": [[4.050, 0.000, 1.725], [1.236, 4.874, 2.716], [-0.041, 0.046, 5.714]],
  "species": ["Li", "Pr", "Pr", "Pt", "Pt"],
  "frac_coords": [[0.500, 0.500, 0.000], [0.698, 0.802, 0.302], [0.302, 0.198, 0.698], [0.000, 0.243, 0.257], [0.000, 0.757, 0.743]],
  "spacegroup": "Immm, No. 71",
  "mass_density_g_cm3": 10.0
}

***

Verdict on stability: a comes out at the bottom.

***

## a
{
  "formula": "LiPrPtRh",
  "functional": "PBE",
  "state": "optimized geometry",
  "lattice_angstrom": [[-2.601, 3.139, 2.341], [-2.594, -1.369, 3.674], [1.224, 1.288, 4.352]],
  "species": ["Pr", "Rh", "Pt", "Li"],
  "frac_coords": [[0.750, 0.750, 0.750], [0.000, 0.000, 0.000], [0.250, 0.250, 0.250], [0.500, 0.500, 0.500]],
  "spacegroup": "F-43m, No. 216",
  "mass_density_g_cm3": 10.1
}

***

## b
{
  "formula": "LiPrPtRh",
  "functional": "PBE",
  "state": "optimized geometry",
  "lattice_angstrom": [[-2.728, -0.125, 3.890], [-3.018, -3.609, 0.670], [0.853, -3.211, 3.398]],
  "species": ["Pr", "Rh", "Pt", "Li"],
  "frac_coords": [[0.000, 0.000, 0.000], [0.250, 0.250, 0.250], [0.750, 0.750, 0.750], [0.500, 0.500, 0.500]],
  "spacegroup": "F-43m, No. 216",
  "mass_density_g_cm3": 9.8
}

***

Verdict on stability: a comes out at the bottom.

***

## a
{
  "formula": "LiPrZnPt",
  "functional": "PBE",
  "state": "optimized geometry",
  "lattice_angstrom": [[-0.933, 4.257, 1.063], [-2.980, -2.445, -2.287], [0.360, -1.230, 5.241]],
  "species": ["Li", "Pr", "Zn", "Pt"],
  "frac_coords": [[0.826, 0.652, 0.121], [0.624, 0.248, 0.515], [0.103, 0.207, 0.952], [0.413, 0.826, 0.880]],
  "spacegroup": "R3m, No. 160",
  "mass_density_g_cm3": 8.2
}

***

## b
{
  "formula": "LiPrZnPt",
  "functional": "PBE",
  "state": "optimized geometry",
  "lattice_angstrom": [[-2.789, 3.727, 1.198], [-4.515, -0.751, 1.469], [-1.184, 0.735, 4.601]],
  "species": ["Pr", "Zn", "Pt", "Li"],
  "frac_coords": [[0.000, 0.000, 0.000], [0.500, 0.500, 0.500], [0.750, 0.750, 0.750], [0.250, 0.250, 0.250]],
  "spacegroup": "F-43m, No. 216",
  "mass_density_g_cm3": 8.6
}

***

Verdict on stability: b comes out at the bottom.